Material: Zr2Sc2Tc
Method: DFT, GGA-PBE
State: relaxed

- magnetic moment (μB/atom) = 0.000
- raw total energy (hartree per atom) = -0.2965

a b c (Å): 3.268 6.245 6.245
angles (deg): 68.27 74.83 74.83
Atoms (fractional coordinates):
Zr 0.500 0.697 0.303
Zr 0.500 0.303 0.697
Tc 0.000 0.000 0.000
Sc 0.260 0.240 0.240
Sc 0.740 0.760 0.760